{"formula": "Ba2YTlCo2O7", "functional": "PBE with a Hubbard U", "state": "relaxed", "energy_ev_per_atom": -6.34, "rho_kg_m3": 6770, "spacegroup": "P2", "cell": [[3.937, 0.001, 0.006], [0.017, 12.535, 0.003], [-0.006, -0.001, 3.965]], "species": ["Ba", "Ba", "Y", "Tl", "Co", "Co", "O", "O", "O", "O", "O", "O", "O"], "fractional_positions": [[0.503, 0.209, 0.511], [0.497, 0.791, 0.511], [0.500, 0.500, 0.505], [0.000, 0.000, 0.058], [0.999, 0.643, 0.007], [0.001, 0.357, 0.008], [0.500, 0.000, 0.377], [0.002, 0.186, 0.999], [0.998, 0.814, 0.998], [0.499, 0.386, 0.008], [0.000, 0.386, 0.505], [0.000, 0.614, 0.504], [0.502, 0.614, 0.008]]}